[1]
First-principles (GGA-PBE) data for crystalline CaRe2Hg at its relaxed geometry, as listed in Alexandria.

Summary:
The value obtained for the total energy is -5.851 eV per atom. For the density of states at the Fermi level, the calculation gives 4.8 states/eV per cell. As for the calculated volume: 74 Å³/cell. The value obtained for the formation energy is 0.9493 eV/atom.

Unit cell a=2.760 b=2.760 c=9.747 alpha=90.00 beta=90.00 gamma=90.00
Space group P4/mmm (No. 123)
Inequivalent atoms, fractional coordinates:
Ca 0.000 0.000 0.000 x1
Re 0.500 0.500 0.259 x2
Hg 0.000 0.000 0.500 x1

---

[2]
First-principles (GGA-PBE) data for crystalline CaRe2Hg at its relaxed geometry, as listed in Alexandria.

Summary:
The value obtained for the total energy is -5.903 eV per atom. For the density of states at the Fermi level, the calculation gives 5.0 states/eV per cell. As for the calculated volume: 147 Å³/cell. The value obtained for the formation energy is 0.8974 eV/atom.

Unit cell a=3.369 b=4.405 c=9.922 alpha=90.00 beta=90.00 gamma=90.00
Space group Cmmm (No. 65)
Inequivalent atoms, fractional coordinates:
Ca 0.000 0.000 0.000 x2
Re 0.000 0.500 0.257 x4
Hg 0.000 0.000 0.500 x2

---

[3]
First-principles (GGA-PBE) data for crystalline CaReHg at its relaxed geometry, as listed in Alexandria.

Summary:
The energy above the lowest structure with this stoichiometry comes out at 61 meV per atom. The value obtained for the total energy is -4.271 eV per atom. For the density of states at the Fermi level, the calculation gives 3.0 states/eV per cell. As for the calculated volume: 62 Å³/cell. The value obtained for the formation energy is 0.6464 eV/atom.

Unit cell a=5.0238 b=5.0238 c=2.8284 alpha=90.00 beta=90.00 gamma=120.00
Space group P-6m2 (No. 187)
Inequivalent atoms, fractional coordinates:
Ca 0.0000 0.0000 0.0000 x1
Re 0.3333 0.6667 0.5000 x1
Hg 0.6667 0.3333 0.5000 x1

---

[4]
First-principles (GGA-PBE) data for crystalline CaReHg2 at its relaxed geometry, as listed in Alexandria.

Summary:
The energy above the lowest structure with this stoichiometry comes out at 109 meV per atom. The value obtained for the total energy is -3.213 eV per atom. For the density of states at the Fermi level, the calculation gives 3.6 states/eV per cell. As for the calculated volume: 84 Å³/cell. The value obtained for the formation energy is 0.5506 eV/atom.

Unit cell a=3.025 b=4.556 c=6.093 alpha=90.00 beta=90.00 gamma=90.00
Space group Pmm2 (No. 25)
Inequivalent atoms, fractional coordinates:
Ca 0.000 0.000 0.000 x1
Re 0.500 0.500 0.729 x1
Hg 0.000 0.000 0.529 x1
Hg 0.500 0.500 0.249 x1

---

[5]
First-principles (GGA-PBE) data for crystalline Ca2ReHg at its relaxed geometry, as listed in Alexandria.

Summary:
The value obtained for the total energy is -3.814 eV per atom. For the density of states at the Fermi level, the calculation gives 7.0 states/eV per cell. As for the calculated volume: 188 Å³/cell. The value obtained for the formation energy is 0.3740 eV/atom.

Unit cell a=11.550 b=3.041 c=5.531 alpha=90.00 beta=104.65 gamma=90.00
Space group Cm (No. 8)
Inequivalent atoms, fractional coordinates:
Ca 0.000 0.000 0.000 x2
Ca 0.191 0.000 0.620 x2
Re 0.445 0.000 0.481 x2
Hg 0.257 0.500 0.159 x2

---

[6]
First-principles (GGA-PBE) data for crystalline CaReHg2 at its relaxed geometry, as listed in Alexandria.

Summary:
The energy above the lowest structure with this stoichiometry comes out at 122 meV per atom. The value obtained for the total energy is -3.200 eV per atom. For the density of states at the Fermi level, the calculation gives 6.4 states/eV per cell. As for the calculated volume: 179 Å³/cell. The value obtained for the formation energy is 0.5637 eV/atom.

Unit cell a=3.143 b=5.237 c=10.904 alpha=90.00 beta=90.00 gamma=90.00
Space group Immm (No. 71)
Inequivalent atoms, fractional coordinates:
Ca 0.000 0.000 0.000 x2
Re 0.000 0.000 0.500 x2
Hg 0.000 0.500 0.212 x4

---

[7]
First-principles (GGA-PBE) data for crystalline CaReHg2 at its relaxed geometry, as listed in Alexandria.

Summary:
The energy above the lowest structure with this stoichiometry comes out at 52 meV per atom. The value obtained for the total energy is -3.269 eV per atom. For the density of states at the Fermi level, the calculation gives 5.2 states/eV per cell. As for the calculated volume: 170 Å³/cell. The value obtained for the formation energy is 0.4943 eV/atom.

Unit cell a=9.950 b=2.971 c=5.795 alpha=90.00 beta=98.13 gamma=90.00
Space group C2/m (No. 12)
Inequivalent atoms, fractional coordinates:
Ca 0.000 0.000 0.000 x2
Re 0.000 0.500 0.500 x2
Hg 0.242 0.000 0.723 x4

---

[8]
First-principles (GGA-PBE) data for crystalline CaReHg2 at its relaxed geometry, as listed in Alexandria.

Summary:
The energy above the lowest structure with this stoichiometry comes out at 55 meV per atom. The value obtained for the total energy is -3.266 eV per atom. For the density of states at the Fermi level, the calculation gives 3.1 states/eV per cell. As for the calculated volume: 82 Å³/cell. The value obtained for the formation energy is 0.4969 eV/atom.

Unit cell a=3.020 b=3.020 c=8.981 alpha=90.00 beta=90.00 gamma=90.00
Space group P4/mmm (No. 123)
Inequivalent atoms, fractional coordinates:
Ca 0.000 0.000 0.000 x1
Re 0.000 0.000 0.500 x1
Hg 0.500 0.500 0.265 x2

---

[9]
First-principles (GGA-PBE) data for crystalline CaReHg2 at its relaxed geometry, as listed in Alexandria.

Summary:
The energy above the lowest structure with this stoichiometry comes out at 78 meV per atom. The value obtained for the total energy is -3.243 eV per atom. For the density of states at the Fermi level, the calculation gives 7.3 states/eV per cell. As for the calculated volume: 161 Å³/cell. The value obtained for the formation energy is 0.5201 eV/atom.

Unit cell a=6.211 b=8.566 c=3.026 alpha=90.00 beta=90.00 gamma=90.00
Space group Cmmm (No. 65)
Inequivalent atoms, fractional coordinates:
Ca 0.000 0.000 0.000 x2
Re 0.000 0.500 0.000 x2
Hg 0.250 0.250 0.500 x4

---

[10]
First-principles (GGA-PBE) data for crystalline CaRe2Hg at its relaxed geometry, as listed in Alexandria.

Summary:
The value obtained for the total energy is -6.032 eV per atom. For the density of states at the Fermi level, the calculation gives 5.3 states/eV per cell. As for the calculated volume: 149 Å³/cell. The value obtained for the formation energy is 0.7679 eV/atom.

Unit cell a=3.255 b=4.545 c=10.097 alpha=90.00 beta=90.00 gamma=90.00
Space group Immm (No. 71)
Inequivalent atoms, fractional coordinates:
Ca 0.000 0.000 0.000 x2
Re 0.000 0.500 0.240 x4
Hg 0.000 0.000 0.500 x2

---

[11]
First-principles (GGA-PBE) data for crystalline Ca2ReHg at its relaxed geometry, as listed in Alexandria.

Summary:
The value obtained for the total energy is -3.248 eV per atom. For the density of states at the Fermi level, the calculation gives 26.3 states/eV per cell. As for the calculated volume: 385 Å³/cell. The value obtained for the formation energy is 0.9406 eV/atom.

Unit cell a=4.339 b=4.339 c=20.465 alpha=90.00 beta=90.00 gamma=90.00
Space group I-42d (No. 122)
Inequivalent atoms, fractional coordinates:
Ca 0.240 0.250 0.125 x8
Re 0.000 0.000 0.000 x4
Hg 0.000 0.000 0.500 x4

---

[12]
First-principles (GGA-PBE) data for crystalline Ca2ReHg at its relaxed geometry, as listed in Alexandria.

Summary:
The value obtained for the total energy is -3.659 eV per atom. For the density of states at the Fermi level, the calculation gives 8.5 states/eV per cell. As for the calculated volume: 287 Å³/cell. The value obtained for the formation energy is 0.5296 eV/atom.

Unit cell a=3.2836 b=3.2836 c=30.7061 alpha=90.00 beta=90.00 gamma=120.00
Space group R-3m (No. 166, hexagonal axes)
Inequivalent atoms, fractional coordinates:
Ca 0.0000 0.0000 0.2412 x6
Re 0.0000 0.0000 0.5000 x3
Hg 0.0000 0.0000 0.0000 x3